No. 1
Ta2AlHg: optimized geometry, PBE-GGA. Values from VASP.

DFT formation energy   589 meV/atom
DFT total energy   -6.348 eV/atom
V   19.51 Å³ per atom

Geometry as Quantum ESPRESSO input:
```
&SYSTEM
  ibrav = 0, nat = 8, ntyp = 3
/
ATOMIC_SPECIES
Ta 180.95 Ta.upf
Al 26.98 Al.upf
Hg 200.59 Hg.upf
CELL_PARAMETERS angstrom
-3.728 3.728 2.809
3.728 -3.728 2.809
3.728 3.728 -2.809
ATOMIC_POSITIONS crystal
Ta 0.117 0.125 0.492
Ta 0.375 0.883 0.008
Ta 0.633 0.625 0.508
Ta 0.875 0.367 0.992
Al 0.000 0.000 0.000
Al 0.750 0.250 0.500
Hg 0.250 0.750 0.500
Hg 0.500 0.500 0.000
```

=====

No. 2
ScCu2F8: optimized geometry, PBE-GGA. Values from VASP.

Formation energy (no corrections)   -2.180 eV/atom
DFT total energy   -4.861 eV/atom
V   12.63 Å³ per atom

Geometry as Quantum ESPRESSO input:
```
&SYSTEM
  ibrav = 0, nat = 11, ntyp = 3
/
ATOMIC_SPECIES
Sc 44.96 Sc.upf
Cu 63.55 Cu.upf
F 19.00 F.upf
CELL_PARAMETERS angstrom
6.408 0.000 0.000
-3.204 5.549 0.000
0.000 0.000 3.908
ATOMIC_POSITIONS crystal
Sc 0.000 0.000 0.000
Cu 0.333 0.667 0.751
Cu 0.667 0.333 0.249
F 0.160 0.321 0.745
F 0.161 0.840 0.745
F 0.321 0.161 0.255
F 0.333 0.667 0.249
F 0.667 0.333 0.751
F 0.679 0.839 0.745
F 0.839 0.160 0.255
F 0.840 0.679 0.255
```

=====

No. 3
ReP2SF: optimized geometry, PBE-GGA. Values from VASP.

Formation energy (no corrections)   0.239 eV/atom
DFT total energy   -5.615 eV/atom
V   19.34 Å³ per atom

Geometry as Quantum ESPRESSO input:
```
&SYSTEM
  ibrav = 0, nat = 5, ntyp = 4
/
ATOMIC_SPECIES
Re 186.21 Re.upf
P 30.97 P.upf
S 32.06 S.upf
F 19.00 F.upf
CELL_PARAMETERS angstrom
4.633 0.000 0.000
0.000 4.633 0.000
0.000 0.000 4.506
ATOMIC_POSITIONS crystal
Re 0.000 0.000 0.000
P 0.000 0.500 0.000
P 0.500 0.000 0.000
S 0.000 0.000 0.500
F 0.500 0.500 0.500
```

=====

No. 4
CaRe4Se: optimized geometry, PBE-GGA. Values from VASP.

Formation energy (no corrections)   0.588 eV/atom
DFT total energy   -8.625 eV/atom
V   17.94 Å³ per atom

Geometry as Quantum ESPRESSO input:
```
&SYSTEM
  ibrav = 0, nat = 6, ntyp = 3
/
ATOMIC_SPECIES
Ca 40.08 Ca.upf
Re 186.21 Re.upf
Se 78.96 Se.upf
CELL_PARAMETERS angstrom
0.000 3.775 3.775
3.775 0.000 3.775
3.775 3.775 0.000
ATOMIC_POSITIONS crystal
Ca 0.000 0.000 0.000
Re 0.128 0.624 0.624
Re 0.624 0.128 0.624
Re 0.624 0.624 0.128
Re 0.624 0.624 0.624
Se 0.250 0.250 0.250
```

=====

No. 5
Sm4Sc3PaAs8: optimized geometry, PBE-GGA. Values from VASP.

DFT formation energy   -1403 meV/atom
DFT total energy   -6.688 eV/atom
V   23.97 Å³ per atom

Geometry as Quantum ESPRESSO input:
```
&SYSTEM
  ibrav = 0, nat = 16, ntyp = 4
/
ATOMIC_SPECIES
Sm 150.36 Sm.upf
Sc 44.96 Sc.upf
Pa 231.04 Pa.upf
As 74.92 As.upf
CELL_PARAMETERS angstrom
4.071 2.351 6.678
-4.071 2.351 6.678
0.000 -4.701 6.678
ATOMIC_POSITIONS crystal
Sm 0.000 0.000 0.000
Sm 0.000 0.500 0.500
Sm 0.500 0.000 0.500
Sm 0.500 0.500 0.000
Sc 0.000 0.000 0.500
Sc 0.000 0.500 0.000
Sc 0.500 0.000 0.000
Pa 0.500 0.500 0.500
As 0.240 0.746 0.746
As 0.243 0.243 0.243
As 0.254 0.254 0.760
As 0.254 0.760 0.254
As 0.746 0.240 0.746
As 0.746 0.746 0.240
As 0.757 0.757 0.757
As 0.760 0.254 0.254
```

=====

No. 6
OsRu2: optimized geometry, PBE-GGA. Values from VASP.

DFT formation energy   -10 meV/atom
DFT total energy   -9.937 eV/atom
V   14.00 Å³ per atom

Geometry as Quantum ESPRESSO input:
```
&SYSTEM
  ibrav = 0, nat = 6, ntyp = 2
/
ATOMIC_SPECIES
Os 190.23 Os.upf
Ru 101.07 Ru.upf
CELL_PARAMETERS angstrom
1.365 -7.115 0.000
1.365 7.115 0.000
0.000 0.000 4.325
ATOMIC_POSITIONS crystal
Os 0.112 0.888 0.750
Os 0.888 0.112 0.250
Ru 0.223 0.777 0.250
Ru 0.445 0.555 0.750
Ru 0.555 0.445 0.250
Ru 0.777 0.223 0.750
```

=====

No. 7
V4Te3Se2: optimized geometry, PBE-GGA. Values from VASP.

Formation energy (no corrections)   -0.257 eV/atom
DFT total energy   -6.132 eV/atom
V   20.35 Å³ per atom

Geometry as Quantum ESPRESSO input:
```
&SYSTEM
  ibrav = 0, nat = 9, ntyp = 3
/
ATOMIC_SPECIES
V 50.94 V.upf
Te 127.60 Te.upf
Se 78.96 Se.upf
CELL_PARAMETERS angstrom
6.379 -1.745 0.000
6.379 1.745 0.000
-0.864 0.000 8.227
ATOMIC_POSITIONS crystal
V 0.065 0.065 0.133
V 0.309 0.309 0.415
V 0.691 0.691 0.585
V 0.935 0.935 0.867
Te 0.000 0.000 0.500
Te 0.399 0.399 0.118
Te 0.601 0.601 0.882
Se 0.312 0.312 0.704
Se 0.688 0.688 0.296
```

=====

No. 8
Rb8Bi2Au: optimized geometry, PBE-GGA. Values from VASP.

DFT formation energy   -272 meV/atom
DFT total energy   -1.980 eV/atom
V   52.43 Å³ per atom

Geometry as Quantum ESPRESSO input:
```
&SYSTEM
  ibrav = 0, nat = 11, ntyp = 3
/
ATOMIC_SPECIES
Rb 85.47 Rb.upf
Bi 208.98 Bi.upf
Au 196.97 Au.upf
CELL_PARAMETERS angstrom
11.248 -3.156 0.000
11.248 3.156 0.000
-3.270 0.000 8.124
ATOMIC_POSITIONS crystal
Rb 0.019 0.019 0.274
Rb 0.214 0.214 0.802
Rb 0.334 0.334 0.550
Rb 0.401 0.401 0.072
Rb 0.599 0.599 0.928
Rb 0.666 0.666 0.450
Rb 0.786 0.786 0.198
Rb 0.981 0.981 0.726
Bi 0.168 0.168 0.176
Bi 0.832 0.832 0.824
Au 0.500 0.500 0.500
```

=====

No. 9
HfFeRe3: optimized geometry, PBE-GGA. Values from VASP.

DFT formation energy   1007 meV/atom
DFT total energy   -10.145 eV/atom
V   17.50 Å³ per atom

Geometry as Quantum ESPRESSO input:
```
&SYSTEM
  ibrav = 0, nat = 5, ntyp = 3
/
ATOMIC_SPECIES
Hf 178.49 Hf.upf
Fe 55.84 Fe.upf
Re 186.21 Re.upf
CELL_PARAMETERS angstrom
4.439 0.000 0.000
0.000 4.439 0.000
0.000 0.000 4.439
ATOMIC_POSITIONS crystal
Hf 0.000 0.000 0.000
Fe 0.500 0.500 0.500
Re 0.000 0.500 0.500
Re 0.500 0.000 0.500
Re 0.500 0.500 0.000
```

=====

No. 10
PrSmDy6Y2: optimized geometry, PBE-GGA. Values from VASP.

DFT formation energy   123 meV/atom
DFT total energy   -4.881 eV/atom
V   32.69 Å³ per atom

Geometry as Quantum ESPRESSO input:
```
&SYSTEM
  ibrav = 0, nat = 20, ntyp = 4
/
ATOMIC_SPECIES
Pr 140.91 Pr.upf
Sm 150.36 Sm.upf
Dy 162.50 Dy.upf
Y 88.91 Y.upf
CELL_PARAMETERS angstrom
4.725 -7.659 0.000
4.725 7.659 0.000
-0.286 0.000 9.033
ATOMIC_POSITIONS crystal
Pr 0.057 0.943 0.750
Pr 0.943 0.057 0.250
Sm 0.428 0.572 0.250
Sm 0.572 0.428 0.750
Dy 0.021 0.469 0.319
Dy 0.087 0.774 0.068
Dy 0.226 0.913 0.432
Dy 0.280 0.558 0.907
Dy 0.442 0.720 0.593
Dy 0.469 0.021 0.819
Dy 0.531 0.979 0.181
Dy 0.558 0.280 0.407
Dy 0.720 0.442 0.093
Dy 0.774 0.087 0.568
Dy 0.913 0.226 0.932
Dy 0.979 0.531 0.681
Y 0.203 0.304 0.563
Y 0.304 0.203 0.063
Y 0.696 0.797 0.937
Y 0.797 0.696 0.437
```

=====

No. 11
NaCaZnSb: optimized geometry, PBE-GGA. Values from VASP.

Formation energy (no corrections)   -0.464 eV/atom
DFT total energy   -2.643 eV/atom
V   26.33 Å³ per atom

Geometry as Quantum ESPRESSO input:
```
&SYSTEM
  ibrav = 0, nat = 4, ntyp = 4
/
ATOMIC_SPECIES
Na 22.99 Na.upf
Ca 40.08 Ca.upf
Zn 65.41 Zn.upf
Sb 121.76 Sb.upf
CELL_PARAMETERS angstrom
0.000 3.748 3.748
3.748 0.000 3.748
3.748 3.748 0.000
ATOMIC_POSITIONS crystal
Na 0.000 0.000 0.000
Ca 0.500 0.500 0.500
Zn 0.250 0.250 0.250
Sb 0.750 0.750 0.750
```

=====

No. 12
PaGa2O5: optimized geometry, PBE-GGA. Values from VASP.

Formation energy (no corrections)   -2.359 eV/atom
DFT total energy   -7.401 eV/atom
V   13.21 Å³ per atom

Geometry as Quantum ESPRESSO input:
```
&SYSTEM
  ibrav = 0, nat = 16, ntyp = 3
/
ATOMIC_SPECIES
Pa 231.04 Pa.upf
Ga 69.72 Ga.upf
O 16.00 O.upf
CELL_PARAMETERS angstrom
3.424 0.000 0.000
0.000 11.965 0.000
0.000 0.000 5.158
ATOMIC_POSITIONS crystal
Pa 0.250 0.250 0.112
Pa 0.750 0.750 0.888
Ga 0.250 0.595 0.408
Ga 0.250 0.905 0.408
Ga 0.750 0.095 0.592
Ga 0.750 0.405 0.592
O 0.250 0.076 0.421
O 0.250 0.424 0.421
O 0.250 0.638 0.063
O 0.250 0.750 0.572
O 0.250 0.862 0.063
O 0.750 0.138 0.937
O 0.750 0.250 0.428
O 0.750 0.362 0.937
O 0.750 0.576 0.579
O 0.750 0.924 0.579
```